First-principles (PBE with a Hubbard U) data for a relaxed VBrN2F crystal, as listed in the Alexandria database.

POSCAR file:
```
VBrN2F
1.0
3.937 0.000 0.000
0.000 3.937 0.000
0.000 0.000 3.955
V Br N F
1 1 2 1
Direct
0.000 0.000 0.000
0.500 0.500 0.500
0.000 0.500 0.000
0.500 0.000 0.000
0.000 0.000 0.500
```

Summary:
excess energy over the best structure of this formula in the dataset = 0.00 eV per formula unit
energy = -0.187 hartree per atom